Pr8Dy2Tl | PBE | optimized geometry

Properties
The calculation puts the energy above the lowest structure with this stoichiometry at 64 meV/atom. The calculated formation energy comes out at 0.0201 eV/atom. The total DFT energy (no corrections) is -4.508 eV/atom.

Cell lengths 5.672, 7.741, 10.074 Å; angles 112.59, 106.35, 90.00 degrees
Sites, in units of the cell vectors:
1 Pr 0.000 0.261 0.000
2 Pr 0.363 0.589 0.725
3 Pr 0.637 0.864 0.275
4 Pr 0.637 0.411 0.275
5 Pr 0.000 0.739 0.000
6 Pr 0.363 0.136 0.725
7 Pr 0.821 0.821 0.642
8 Pr 0.179 0.179 0.358
9 Dy 0.808 0.308 0.616
10 Dy 0.192 0.692 0.384
11 Tl 0.500 0.000 0.000

***

PrDy3Tl | PBE | optimized geometry

Properties
The calculation puts the energy above the lowest structure with this stoichiometry at 61 meV/atom. The calculated formation energy comes out at -0.0535 eV/atom. The total DFT energy (no corrections) is -4.244 eV/atom.

Cell lengths 5.441, 10.510, 11.087 Å; angles 90.00, 90.00, 90.00 degrees
Sites, in units of the cell vectors:
1 Dy 0.250 0.404 0.330
2 Dy 0.750 0.641 0.350
3 Dy 0.750 0.905 0.608
4 Dy 0.250 0.359 0.650
5 Dy 0.250 0.095 0.392
6 Dy 0.750 0.141 0.150
7 Dy 0.750 0.096 0.830
8 Dy 0.250 0.595 0.108
9 Dy 0.750 0.405 0.892
10 Dy 0.250 0.859 0.850
11 Dy 0.750 0.596 0.670
12 Dy 0.250 0.904 0.170
13 Tl 0.250 0.569 0.835
14 Tl 0.250 0.069 0.665
15 Tl 0.750 0.431 0.165
16 Tl 0.750 0.931 0.335
17 Pr 0.250 0.219 0.984
18 Pr 0.750 0.781 0.016
19 Pr 0.750 0.281 0.484
20 Pr 0.250 0.719 0.516

***

Question: What is the energy above the lowest structure with this stoichiometry in the second record?
Answer: 61 meV/atom

***

Question: What is the calculated formation energy in the second record?
Answer: -0.0535 eV/atom

***

Question: Look up the energy above the lowest structure with this stoichiometry of the second one.
Answer: 61 meV/atom